Entry 1:
LiTa2Ir | PBE-GGA | relaxed

It has space group I-4m2 (No. 119), with a = 3.8247 Å, b = 3.8247 Å, c = 8.6972 Å, α = 90.00°, β = 90.00° and γ = 90.00°. The asymmetric unit holds Li at (0.0000, 0.0000, 0.0000), Ta at (0.0000, 0.0000, 0.5000), Ta at (0.0000, 0.5000, 0.7500) and Ir at (0.0000, 0.5000, 0.2500).

The energy of formation from the pure elements comes out at -0.02 eV/atom. The calculated total energy comes out at -69.08 eV per cell.



Entry 2:
LaZnSe | PBE-GGA | relaxed

It has space group Imm2 (No. 44), with a = 4.1283 Å, b = 4.4300 Å, c = 9.1061 Å, α = 90.00°, β = 90.00° and γ = 90.00°. The asymmetric unit holds La at (0.0000, 0.0000, 0.0000), Zn at (0.0000, 0.0000, 0.6056) and Se at (0.0000, 0.5000, 0.7620).

Its offset from the most stable computed form is 1.16 eV/f.u. The calculation puts the uncorrected formation energy at -0.785 eV/atom. The calculated total energy comes out at -24.08 eV per cell.